A relaxed Os2AuCl crystal. Source: the Alexandria database, functional GGA-PBEsol.

The structure in POSCAR format:
```
Os2AuCl
1.0
-1.295 -0.712 -2.384
-2.204 -0.918 1.472
-3.128 6.921 -0.367
Os Au Cl
2 1 1
Cartesian
-2.337 5.171 -0.274 Os
-0.791 1.750 -0.093 Os
-1.750 -0.815 -0.456 Au
-3.314 2.646 -0.639 Cl
```

Computed properties:
ρ	17016	kg/m³
energy above the most stable polymorph in this dataset	8.5	kJ/mol of atoms
space-group type	P4/mmm, No. 123
V	60	Å³ per cell